Compound: Pm2TiCrO6
Source: Alexandria via LeMat-Bulk
Functional: GGA+U
Structure: optimized geometry

Summary:
For the total magnetic moment, the calculation gives 2.33 μB/cell. Its density of states at the Fermi level is 0.3152 states/eV per atom. As for the raw total energy: -8.279 eV/atom.

The structure in POSCAR format:
```
Pm2TiCrO6
1.0
4.020 0.000 0.000
0.000 5.529 0.000
0.000 0.000 5.529
Pm Ti Cr O
2 1 1 6
direct
0.063 0.500 0.000
0.063 0.000 0.500
0.635 0.000 0.000
0.648 0.500 0.500
0.683 0.250 0.250
0.683 0.250 0.750
0.155 0.500 0.500
0.153 0.000 0.000
0.683 0.750 0.750
0.683 0.750 0.250
```